Compound: Pu3Sb
Source: the Alexandria database
Functional: PBE
Structure: relaxed

Properties
DOS(E_F) = 3.66 states/eV per atom
E_form (uncorrected) = -15.88 kJ/mol of atoms
DFT total energy = -11.944 eV per atom
Distance to the lowest polymorph of the same formula = 156 meV/atom
Symmetry = Fm-3m

Unit cell a=5.3182 b=5.3182 c=5.3182 alpha=60.00 beta=60.00 gamma=60.00
With the nearest neighbours (Å) after each atom.
Sites, in units of the cell vectors:
1 Sb 0.5000 0.5000 0.5000  8 Pu 3.26
2 Pu 0.0000 0.0000 0.0000  8 Pu 3.26
3 Pu 0.7500 0.7500 0.7500  4 Sb 3.26, 4 Pu 3.26
4 Pu 0.2500 0.2500 0.2500  4 Sb 3.26, 4 Pu 3.26